1.
First-principles (GGA-PBEsol) data for a relaxed structure of Li2InMo, as listed in the Alexandria database.

a b c (Å): 2.7376 4.8455 5.0674
angles (deg): 90.00 92.80 90.00
Closest atoms and distances in Å follow each position.
Fractional coordinates of all 4 atoms:
1 In 0.0000 0.5000 0.5000  2 In 2.74, 4 Mo 2.82-2.94, 4 Li 2.87
2 Li 0.7986 0.0000 0.7774  3 Li 2.46-2.74
3 Li 0.2014 0.0000 0.2226  3 Li 2.46-2.74
4 Mo 0.5000 0.5000 0.0000  2 Mo 2.74, 4 Li 2.81, 4 In 2.82-2.94

Results
Density of states at the Fermi level in states/eV per atom: 0.72
Total moment in μB/f.u.: 0.0
DFT formation energy in eV/atom: 0.2638

2.
First-principles (GGA-PBEsol) data for a relaxed structure of LaTeIN2, as listed in the Alexandria database.

a b c (Å): 4.3365 4.3365 5.6327
angles (deg): 90.00 90.00 90.00
Closest atoms and distances in Å follow each position.
Fractional coordinates of all 5 atoms:
1 I 0.0000 0.0000 0.5000  2 Te 2.82, 4 La 3.07
2 N 0.0000 0.5000 0.0000  2 Te 2.17
3 N 0.5000 0.0000 0.0000  2 Te 2.17
4 Te 0.0000 0.0000 0.0000  4 N 2.17
5 La 0.5000 0.5000 0.5000  4 I 3.07

Results
Calculated total energy in eV per atom: -4.845
Density of states at the Fermi level in states/eV per atom: 0.62
Total moment in μB/f.u.: 0.0